No. 1
An optimized crystal structure of MnAl2IrO. Source: the Alexandria database, functional PBE+U.

Values from the calculation:
symmetry = P4/mmm
raw total energy = -5.481 eV/atom
D(E_F) = 2.10 states/eV/f.u.

Cell: 4.6453 5.0272 4.6453 Å, 90.00 90.00 90.00°
Last column: nearest neighbours and their distance in Å.
Atoms (fractional coordinates):
Al 0.0000 0.0000 0.5000  2 Ir 2.32
Al 0.5000 0.0000 0.0000  2 Ir 2.32
Ir 0.0000 0.0000 0.0000  4 Al 2.32, 2 Mn 2.51
O 0.5000 0.5000 0.5000  4 Mn 3.28, 8 Al 3.42
Mn 0.0000 0.5000 0.0000  2 Ir 2.51


No. 2
An optimized crystal structure of MnAl2IrO. Source: the Alexandria database, functional PBE+U.

Values from the calculation:
symmetry = P4/mmm
raw total energy = -5.620 eV/atom
D(E_F) = 2.37 states/eV/f.u.

Cell: 5.0643 3.6968 5.0643 Å, 90.00 90.00 90.00°
Last column: nearest neighbours and their distance in Å.
Atoms (fractional coordinates):
Al 0.0000 0.0000 0.5000  2 Ir 2.53
Al 0.5000 0.0000 0.0000  2 Ir 2.53
O 0.0000 0.5000 0.0000  2 Ir 1.85
Mn 0.5000 0.5000 0.5000  8 Al 3.14
Ir 0.0000 0.0000 0.0000  2 O 1.85